(1)
First-principles (PBE-GGA) data for a relaxed BiSb crystal, as listed in the Alexandria database.

Structure (extended XYZ):
```
12
Lattice="4.4933 0.0000 0.0000 0.0000 19.2382 0.0000 0.0000 0.0000 4.6995" Properties=species:S:1:pos:R:3 pbc="T T T"
Bi 1.1233 1.6547 0.9439
Bi 1.1233 7.9644 0.9439
Bi 1.1233 14.4286 1.3555
Bi 3.3700 4.8096 3.3440
Bi 3.3700 11.2738 3.7556
Bi 3.3700 17.5835 3.7556
Sb 1.1233 4.8096 1.2808
Sb 1.1233 11.2605 1.0911
Sb 1.1233 17.5968 1.0911
Sb 3.3700 1.6414 3.6084
Sb 3.3700 7.9777 3.6084
Sb 3.3700 14.4286 3.4187
```

Output
The value obtained for the formation energy from raw total energies is 0.027 eV per atom. As for the energy above the most stable polymorph in this dataset: 0.07 eV per formula unit.


(2)
First-principles (PBE-GGA) data for a relaxed MgTlW2 crystal, as listed in the Alexandria database.

Structure (extended XYZ):
```
4
Lattice="2.8045 -4.8485 0.0000 2.8045 4.8485 0.0000 -0.9970 0.0000 2.6687" Properties=species:S:1:pos:R:3 pbc="T T T"
Mg 0.0000 0.0000 0.0000
Tl 2.8045 0.0000 0.0000
W 0.9037 2.4243 1.3343
W 0.9037 -2.4243 1.3343
```

Output
Its formation energy is 0.75 eV/atom. As for the energy above the most stable polymorph in this dataset: 1.13 eV per formula unit.


(3)
First-principles (PBE-GGA) data for a relaxed K2InRu crystal, as listed in the Alexandria database.

Structure (extended XYZ):
```
4
Lattice="2.9101 -5.7767 0.0000 2.9101 5.7767 0.0000 -0.7278 0.0000 3.1319" Properties=species:S:1:pos:R:3 pbc="T T T"
K 1.4551 2.8883 0.0000
K 1.4551 -2.8883 0.0000
In -0.3639 0.0000 1.5659
Ru 2.5462 0.0000 1.5659
```

Output
Its formation energy is 0.80 eV/atom.


Number 1: electronic total energy -3.975 eV/atom. Number 2: electronic total energy -6.719 eV/atom. Number 3: electronic total energy -2.751 eV/atom.